4
Lattice="0.000 3.743 3.743 3.743 0.000 3.743 3.743 3.743 0.000" Properties=species:S:1:pos:R:3 comment="RbMn2H PBE-GGA relaxed" spacegroup="Fm-3m, No. 225" e_above_lowest_polymorph_mev_per_atom=929 pbc="T T T"
Rb 0.000 0.000 0.000
Mn 1.872 1.872 1.872
Mn 5.615 5.615 5.615
H 3.743 3.743 3.743


5
Lattice="5.731 0.000 0.000 0.000 5.731 0.000 0.000 0.000 5.126" Properties=species:S:1:pos:R:3 comment="CaSb2PF PBE-GGA relaxed" spacegroup="P4/mmm, No. 123" raw_formation_energy_kcal_per_mol_atoms=13.24 pbc="T T T"
Ca 0.000 0.000 0.000
Sb 0.000 2.866 0.000
Sb 2.866 0.000 0.000
P 0.000 0.000 2.563
F 2.866 2.866 2.563


5
Lattice="4.771 0.000 0.000 0.000 4.771 0.000 0.000 0.000 4.771" Properties=species:S:1:pos:R:3 comment="ZrAg3S PBE-GGA relaxed" spacegroup="Pm-3m, No. 221" e_above_lowest_polymorph_mev_per_atom=0 raw_formation_energy_kcal_per_mol_atoms=14.77 pbc="T T T"
Zr 0.000 0.000 0.000
Ag 0.000 2.386 2.386
Ag 2.386 0.000 2.386
Ag 2.386 2.386 0.000
S 2.386 2.386 2.386


no.,D(E_F) (states/eV/cell),total moment (μB/atom),density (g cm⁻³)
1,4.0,2.434,3.11
2,4.6,0.000,3.29
3,5.3,0.063,6.83